No. 1
# Sr2HfSiF

Crystalline Sr2HfSiF at its relaxed geometry (GGA-PBE, the Alexandria database).

Cell and atoms, written as extended XYZ:
```
5
Lattice="-0.184 -4.822 4.212 3.760 0.629 0.884 -1.766 4.088 4.603" Properties=species:S:1:pos:R:3 pbc="T T T"
Sr -0.092 -2.411 2.106
Sr -0.883 2.044 2.302
Si 0.000 0.000 0.000
Hf 0.905 -0.052 4.850
F 1.880 0.314 0.442
```

Values from the calculation:
As for the total moment: 3.0 μB per cell. The energy relative to the elements, uncorrected comes out at 0.141 eV per atom. Its density of states at the Fermi level is 0.975 states/eV per atom.

No. 2
# HfSn3F

Crystalline HfSn3F at its relaxed geometry (GGA-PBE, the Alexandria database).

Cell and atoms, written as extended XYZ:
```
5
Lattice="5.546 0.000 0.000 0.000 5.546 0.000 0.000 0.000 5.546" Properties=species:S:1:pos:R:3 pbc="T T T"
Sn 0.000 2.773 0.000
Sn 0.000 0.000 2.773
Sn 2.773 0.000 0.000
Hf 0.000 0.000 0.000
F 2.773 2.773 2.773
```

Values from the calculation:
As for the total moment: 0.0 μB per cell. The energy relative to the elements, uncorrected comes out at 0.104 eV per atom. For the excess energy over the best structure of this formula in the dataset, the calculation gives 0.421 eV/atom. Its density of states at the Fermi level is 1.002 states/eV per atom.

No. 3
# HfSnF

Crystalline HfSnF at its relaxed geometry (GGA-PBE, the Alexandria database).

Cell and atoms, written as extended XYZ:
```
6
Lattice="-0.998 2.875 0.695 -5.571 -0.928 2.846 -1.304 -0.489 7.158" Properties=species:S:1:pos:R:3 pbc="T T T"
Sn -2.248 -0.519 5.927
Sn -5.626 1.977 4.772
Hf -2.706 1.578 3.606
Hf -5.168 -0.120 7.093
F -2.178 0.516 1.749
F -5.696 0.943 8.950
```

Values from the calculation:
As for the total moment: 0.0 μB per cell. The energy relative to the elements, uncorrected comes out at -1.412 eV per atom. Its density of states at the Fermi level is 0.436 states/eV per atom.

No. 4
# HfSnF3

Crystalline HfSnF3 at its relaxed geometry (GGA-PBE, the Alexandria database).

Cell and atoms, written as extended XYZ:
```
5
Lattice="-1.989 3.477 1.714 -3.853 -1.987 -0.442 0.429 -1.717 3.981" Properties=species:S:1:pos:R:3 pbc="T T T"
F 0.214 -0.859 1.991
F -1.926 -0.993 -0.221
F -0.995 1.738 0.857
Hf 0.000 0.000 0.000
Sn -2.707 -0.114 2.627
```

Values from the calculation:
As for the total moment: 1.3 μB per cell. The energy relative to the elements, uncorrected comes out at -1.970 eV per atom. For the excess energy over the best structure of this formula in the dataset, the calculation gives 0.000 eV/atom. Its density of states at the Fermi level is 1.038 states/eV per atom.

No. 5
# HfSnF3

Crystalline HfSnF3 at its relaxed geometry (GGA-PBE, the Alexandria database).

Cell and atoms, written as extended XYZ:
```
5
Lattice="4.654 0.000 0.000 0.000 4.654 0.000 0.000 0.000 4.654" Properties=species:S:1:pos:R:3 pbc="T T T"
F 0.000 2.327 0.000
F 0.000 0.000 2.327
F 2.327 0.000 0.000
Hf 2.327 2.327 2.327
Sn 0.000 0.000 0.000
```

Values from the calculation:
As for the total moment: 2.1 μB per cell. The energy relative to the elements, uncorrected comes out at -0.932 eV per atom. For the excess energy over the best structure of this formula in the dataset, the calculation gives 1.038 eV/atom. Its density of states at the Fermi level is 0.594 states/eV per atom.

No. 6
# HfSnF2

Crystalline HfSnF2 at its relaxed geometry (GGA-PBE, the Alexandria database).

Cell and atoms, written as extended XYZ:
```
8
Lattice="4.497 0.000 0.000 0.000 4.497 0.000 2.248 2.248 7.103" Properties=species:S:1:pos:R:3 pbc="T T T"
Sn 2.248 2.248 0.000
Sn 2.248 4.497 3.552
F 3.372 2.545 5.328
F 5.621 1.952 5.328
F 4.200 1.124 1.776
F 4.793 3.372 1.776
Hf 0.000 0.000 0.000
Hf 4.497 2.248 3.552
```

Values from the calculation:
As for the total moment: 0.0 μB per cell. The energy relative to the elements, uncorrected comes out at -1.840 eV per atom. For the excess energy over the best structure of this formula in the dataset, the calculation gives 0.000 eV/atom. Its density of states at the Fermi level is 0.248 states/eV per atom.

No. 7
# Hf2SnF11

Crystalline Hf2SnF11 at its relaxed geometry (GGA-PBE, the Alexandria database).

Cell and atoms, written as extended XYZ:
```
28
Lattice="6.864 0.000 3.578 3.152 7.248 2.327 0.071 -0.081 8.238" Properties=species:S:1:pos:R:3 pbc="T T T"
F 5.309 5.659 11.023
F 5.043 3.584 7.071
F 4.839 5.189 5.317
F 5.248 1.978 8.825
F 0.864 1.244 5.009
F 2.850 2.259 9.571
F 6.613 5.092 8.520
F 7.590 3.170 6.646
F 1.626 1.525 7.402
F 6.212 6.925 6.537
F 7.236 4.909 4.572
F 0.000 0.000 0.000
F 3.875 0.243 7.606
F 4.778 1.508 3.120
F 3.473 2.076 5.623
F 1.110 0.414 2.331
F 6.704 3.260 10.552
F 8.977 6.753 11.812
F 3.383 3.907 3.591
F 8.461 5.642 6.741
F 9.223 5.923 9.134
F 2.497 3.997 7.497
Hf 6.543 4.914 6.489
Hf 6.553 1.249 10.253
Hf 3.543 2.254 7.654
Hf 3.533 5.918 3.890
Sn 7.565 5.375 10.607
Sn 2.522 1.792 3.536
```

Values from the calculation:
As for the total moment: 1.4 μB per cell. The energy relative to the elements, uncorrected comes out at -3.326 eV per atom. Its density of states at the Fermi level is 0.216 states/eV per atom.

No. 8
# HfSnF2

Crystalline HfSnF2 at its relaxed geometry (GGA-PBE, the Alexandria database).

Cell and atoms, written as extended XYZ:
```
4
Lattice="0.000 3.173 3.173 3.173 0.000 3.173 3.173 3.173 0.000" Properties=species:S:1:pos:R:3 pbc="T T T"
Hf 3.173 3.173 3.173
F 4.760 4.760 4.760
F 1.587 1.587 1.587
Sn 0.000 0.000 0.000
```

Values from the calculation:
As for the total moment: 0.0 μB per cell. The energy relative to the elements, uncorrected comes out at -1.018 eV per atom. For the excess energy over the best structure of this formula in the dataset, the calculation gives 0.822 eV/atom. Its density of states at the Fermi level is 0.999 states/eV per atom.

No. 9
# HfSn3F

Crystalline HfSn3F at its relaxed geometry (GGA-PBE, the Alexandria database).

Cell and atoms, written as extended XYZ:
```
5
Lattice="4.820 0.000 0.000 0.000 4.820 0.000 0.000 0.000 4.820" Properties=species:S:1:pos:R:3 pbc="T T T"
Sn 0.000 0.000 2.410
Sn 0.000 2.410 0.000
Sn 2.410 0.000 0.000
F 0.000 0.000 0.000
Hf 2.410 2.410 2.410
```

Values from the calculation:
As for the total moment: 0.0 μB per cell. The energy relative to the elements, uncorrected comes out at -0.317 eV per atom. For the excess energy over the best structure of this formula in the dataset, the calculation gives 0.000 eV/atom. Its density of states at the Fermi level is 0.691 states/eV per atom.

No. 10
# HfSnF2

Crystalline HfSnF2 at its relaxed geometry (GGA-PBE, the Alexandria database).

Cell and atoms, written as extended XYZ:
```
4
Lattice="1.739 0.000 10.552 -0.869 1.506 10.552 -0.869 -1.506 10.552" Properties=species:S:1:pos:R:3 pbc="T T T"
F 0.000 0.000 3.776
F 0.000 0.000 27.879
Hf 0.000 0.000 15.828
Sn 0.000 0.000 0.000
```

Values from the calculation:
As for the total moment: 0.0 μB per cell. The energy relative to the elements, uncorrected comes out at -1.816 eV per atom. For the excess energy over the best structure of this formula in the dataset, the calculation gives 0.023 eV/atom. Its density of states at the Fermi level is 0.249 states/eV per atom.

No. 11
# Hf2SnF

Crystalline Hf2SnF at its relaxed geometry (GGA-PBE, the Alexandria database).

Cell and atoms, written as extended XYZ:
```
4
Lattice="0.000 3.380 3.380 3.380 0.000 3.380 3.380 3.380 0.000" Properties=species:S:1:pos:R:3 pbc="T T T"
F 0.000 0.000 0.000
Hf 1.690 1.690 1.690
Hf 5.071 5.071 5.071
Sn 3.380 3.380 3.380
```

Values from the calculation:
As for the total moment: 0.0 μB per cell. The energy relative to the elements, uncorrected comes out at -0.595 eV per atom. For the excess energy over the best structure of this formula in the dataset, the calculation gives 0.000 eV/atom. Its density of states at the Fermi level is 0.813 states/eV per atom.

No. 12
# Hf2SnF

Crystalline Hf2SnF at its relaxed geometry (GGA-PBE, the Alexandria database).

Cell and atoms, written as extended XYZ:
```
8
Lattice="-2.897 1.805 -3.804 1.165 -4.093 -2.830 -6.471 -4.568 -0.672" Properties=species:S:1:pos:R:3 pbc="T T T"
Hf -5.339 -4.861 -3.390
Hf -2.875 -0.780 -2.363
Hf -6.533 -4.851 -5.910
Hf -1.660 -3.220 -2.948
F -0.866 -1.144 -3.317
F -3.086 -4.903 -3.409
Sn -5.117 -1.953 -3.896
Sn 0.000 0.000 0.000
```

Values from the calculation:
As for the total moment: 0.0 μB per cell. The energy relative to the elements, uncorrected comes out at -0.345 eV per atom. For the excess energy over the best structure of this formula in the dataset, the calculation gives 0.250 eV/atom. Its density of states at the Fermi level is 1.235 states/eV per atom.

No. 13
# HfZnSnF

Crystalline HfZnSnF at its relaxed geometry (GGA-PBE, the Alexandria database).

Cell and atoms, written as extended XYZ:
```
8
Lattice="-0.294 -3.355 -2.070 2.075 1.073 -2.034 9.268 -5.013 6.809" Properties=species:S:1:pos:R:3 pbc="T T T"
Zn 1.349 -2.487 0.065
Zn 7.021 -4.457 2.452
F 3.936 -1.031 1.112
F 7.533 -4.074 5.534
Sn 1.350 0.368 -0.788
Sn 4.947 -2.676 3.634
Hf 7.882 -6.020 4.864
Hf 4.286 -2.977 0.442
```

Values from the calculation:
As for the total moment: 0.0 μB per cell. The energy relative to the elements, uncorrected comes out at -0.924 eV per atom. For the excess energy over the best structure of this formula in the dataset, the calculation gives 0.072 eV/atom. Its density of states at the Fermi level is 0.604 states/eV per atom.

No. 14
# HfZnSnF

Crystalline HfZnSnF at its relaxed geometry (GGA-PBE, the Alexandria database).

Cell and atoms, written as extended XYZ:
```
4
Lattice="3.102 0.000 0.000 -1.551 2.687 0.000 -1.233 -0.845 10.099" Properties=species:S:1:pos:R:3 pbc="T T T"
F 0.413 0.604 6.385
Hf -1.138 1.499 7.808
Zn 0.413 0.603 10.063
Sn 0.092 2.347 2.495
```

Values from the calculation:
As for the total moment: 0.0 μB per cell. The energy relative to the elements, uncorrected comes out at -0.996 eV per atom. For the excess energy over the best structure of this formula in the dataset, the calculation gives 0.000 eV/atom. Its density of states at the Fermi level is 0.469 states/eV per atom.

No. 15
# HfZnSnF

Crystalline HfZnSnF at its relaxed geometry (GGA-PBE, the Alexandria database).

Cell and atoms, written as extended XYZ:
```
12
Lattice="-1.960 -2.461 -2.337 3.771 0.795 -0.713 4.408 -12.459 9.420" Properties=species:S:1:pos:R:3 pbc="T T T"
F 5.908 -11.729 7.394
F 1.108 -3.133 2.369
F 2.528 -8.661 3.713
Zn 0.503 -2.936 -0.616
Zn 3.491 -9.867 7.461
Zn 3.882 -6.004 3.066
Sn 4.986 -9.124 5.425
Sn 0.187 -0.528 0.399
Sn 1.606 -6.056 1.743
Hf 2.523 -7.130 5.392
Hf 2.914 -3.268 0.997
Hf 3.943 -12.659 6.736
```

Values from the calculation:
As for the total moment: 0.0 μB per cell. The energy relative to the elements, uncorrected comes out at -0.830 eV per atom. For the excess energy over the best structure of this formula in the dataset, the calculation gives 0.166 eV/atom. Its density of states at the Fermi level is 0.421 states/eV per atom.

No. 16
# HfZnSnF

Crystalline HfZnSnF at its relaxed geometry (GGA-PBE, the Alexandria database).

Cell and atoms, written as extended XYZ:
```
4
Lattice="3.051 0.000 0.000 0.000 3.291 -0.001 1.482 0.075 8.669" Properties=species:S:1:pos:R:3 pbc="T T T"
Zn 0.997 1.675 0.032
F 2.522 1.676 3.167
Sn 4.004 0.106 6.713
Hf 2.523 0.030 1.800
```

Values from the calculation:
As for the total moment: 0.0 μB per cell. The energy relative to the elements, uncorrected comes out at -0.961 eV per atom. For the excess energy over the best structure of this formula in the dataset, the calculation gives 0.035 eV/atom. Its density of states at the Fermi level is 0.431 states/eV per atom.

No. 17
# HfZnSnF

Crystalline HfZnSnF at its relaxed geometry (GGA-PBE, the Alexandria database).

Cell and atoms, written as extended XYZ:
```
8
Lattice="3.790 0.000 0.000 0.000 3.278 0.000 0.000 0.000 12.186" Properties=species:S:1:pos:R:3 pbc="T T T"
Zn 1.895 1.639 4.125
Zn 1.895 0.000 10.218
Hf 0.000 0.000 2.402
Hf 0.000 1.639 8.495
Sn 0.000 0.000 5.572
Sn 0.000 1.639 11.665
F 1.895 0.000 1.559
F 1.895 1.639 7.652
```

Values from the calculation:
As for the total moment: 0.0 μB per cell. The energy relative to the elements, uncorrected comes out at -0.967 eV per atom. For the excess energy over the best structure of this formula in the dataset, the calculation gives 0.029 eV/atom. Its density of states at the Fermi level is 0.435 states/eV per atom.

No. 18
# HfZnSnF

Crystalline HfZnSnF at its relaxed geometry (GGA-PBE, the Alexandria database).

Cell and atoms, written as extended XYZ:
```
8
Lattice="-3.409 0.192 -0.160 -0.204 -4.090 -0.562 -0.613 -1.511 11.223" Properties=species:S:1:pos:R:3 pbc="T T T"
Sn -1.843 -2.038 0.302
Sn -0.343 -0.844 6.274
Hf -0.609 -3.295 9.003
Hf -1.905 -0.399 3.593
F -0.522 -1.286 9.558
F -2.022 -2.480 3.586
Zn -2.197 -2.911 6.788
Zn -0.084 -0.207 1.538
```

Values from the calculation:
As for the total moment: 0.0 μB per cell. The energy relative to the elements, uncorrected comes out at -0.993 eV per atom. For the excess energy over the best structure of this formula in the dataset, the calculation gives 0.003 eV/atom. Its density of states at the Fermi level is 0.316 states/eV per atom.

No. 19
# SrHfF3

Crystalline SrHfF3 at its relaxed geometry (GGA-PBE, the Alexandria database).

Cell and atoms, written as extended XYZ:
```
5
Lattice="4.504 0.000 0.000 0.000 4.504 0.000 0.000 0.000 4.504" Properties=species:S:1:pos:R:3 pbc="T T T"
F 0.000 2.252 0.000
F 2.252 0.000 0.000
F 0.000 0.000 2.252
Hf 0.000 0.000 0.000
Sr 2.252 2.252 2.252
```

Values from the calculation:
As for the total moment: 2.1 μB per cell. The energy relative to the elements, uncorrected comes out at -2.202 eV per atom. For the excess energy over the best structure of this formula in the dataset, the calculation gives 0.000 eV/atom. Its density of states at the Fermi level is 1.122 states/eV per atom.

No. 20
# SrHfF2

Crystalline SrHfF2 at its relaxed geometry (GGA-PBE, the Alexandria database).

Cell and atoms, written as extended XYZ:
```
4
Lattice="-5.596 -3.558 0.053 -4.441 -3.233 3.715 -6.309 -0.320 2.019" Properties=species:S:1:pos:R:3 pbc="T T T"
Sr 0.000 0.000 0.000
F -14.082 -6.126 4.986
F -2.263 -0.985 0.801
Hf -8.173 -3.556 2.894
```

Values from the calculation:
As for the total moment: 0.0 μB per cell. The energy relative to the elements, uncorrected comes out at -1.894 eV per atom. For the excess energy over the best structure of this formula in the dataset, the calculation gives 0.167 eV/atom. Its density of states at the Fermi level is 0.669 states/eV per atom.